K2CdSe: relaxed, GGA-PBE.

## Properties
- polymorph energy (0 for the lowest one) (meV/atom) = 23
- formation energy without anion corrections (meV per atom) = -634
- volume (Å³/cell) = 133
- mass density (g cm⁻³) = 3.37

abc: 5.7252 5.7252 5.7252
angles: 60.00 60.00 60.00
Element x y z (fractional)
K (0.7500, 0.7500, 0.7500)
K (0.2500, 0.2500, 0.2500)
Se (0.0000, 0.0000, 0.0000)
Cd (0.5000, 0.5000, 0.5000)